## P
! Ba4TlGe (GGA-PBE, relaxed); values from VASP
&SYSTEM
  ibrav = 0, nat = 12, ntyp = 3
/
ATOMIC_SPECIES
Ba 137.33 Ba.upf
Tl 204.38 Tl.upf
Ge 72.64 Ge.upf
CELL_PARAMETERS angstrom
7.369 -0.304 -1.850
-3.154 8.374 -3.206
-0.330 -0.422 9.490
ATOMIC_POSITIONS crystal
Ba 0.075 0.946 0.285
Ba 0.925 0.054 0.715
Ba 0.575 0.285 0.946
Ba 0.705 0.226 0.350
Ba 0.795 0.650 0.774
Ba 0.295 0.774 0.650
Ba 0.425 0.715 0.054
Ba 0.205 0.350 0.226
Tl 0.250 0.366 0.634
Tl 0.750 0.634 0.366
Ge 0.750 0.002 0.998
Ge 0.250 0.998 0.002
! N(E_F): 14.22 states/eV/cell
! magnetic moment: 0.00 μB/f.u.

***

## Q
! Ba4TlGe (GGA-PBE, relaxed); values from VASP
&SYSTEM
  ibrav = 0, nat = 12, ntyp = 3
/
ATOMIC_SPECIES
Ge 72.64 Ge.upf
Ba 137.33 Ba.upf
Tl 204.38 Tl.upf
CELL_PARAMETERS angstrom
-4.493 -6.097 2.604
-0.209 -1.577 -9.053
8.690 -0.569 3.846
ATOMIC_POSITIONS crystal
Ge 0.613 0.363 0.726
Ge 0.387 0.637 0.274
Ba 0.359 0.948 0.631
Ba 0.395 0.635 0.899
Ba 0.605 0.365 0.101
Ba 0.996 0.736 0.101
Ba 0.004 0.264 0.899
Ba 0.641 0.052 0.369
Ba 0.772 0.683 0.631
Ba 0.228 0.317 0.369
Tl 0.240 0.990 0.980
Tl 0.760 0.010 0.020
! N(E_F): 12.30 states/eV/cell
! magnetic moment: 0.00 μB/f.u.

***

The structure with the greatest stability is P.

***

## P
! Ba2ZrTlGe (GGA-PBE, relaxed); values from VASP
&SYSTEM
  ibrav = 0, nat = 5, ntyp = 4
/
ATOMIC_SPECIES
Tl 204.38 Tl.upf
Ba 137.33 Ba.upf
Ge 72.64 Ge.upf
Zr 91.22 Zr.upf
CELL_PARAMETERS angstrom
6.379 0.000 0.000
0.000 5.342 0.000
0.000 0.000 6.379
ATOMIC_POSITIONS crystal
Tl 0.000 0.500 0.000
Ba 0.000 0.000 0.500
Ba 0.500 0.000 0.000
Ge 0.000 0.000 0.000
Zr 0.500 0.500 0.500
! N(E_F): 5.70 states/eV/cell
! magnetic moment: 3.62 μB/f.u.

***

## Q
! Ba2ZrTlGe (GGA-PBE, relaxed); values from VASP
&SYSTEM
  ibrav = 0, nat = 5, ntyp = 4
/
ATOMIC_SPECIES
Ba 137.33 Ba.upf
Zr 91.22 Zr.upf
Tl 204.38 Tl.upf
Ge 72.64 Ge.upf
CELL_PARAMETERS angstrom
-3.390 5.280 -0.122
-5.280 -3.386 0.208
0.092 0.180 5.260
ATOMIC_POSITIONS crystal
Ba 0.000 0.500 0.000
Ba 0.500 0.000 0.000
Zr 0.000 0.000 0.000
Tl 0.500 0.500 0.500
Ge 0.000 0.000 0.500
! N(E_F): 5.37 states/eV/cell
! magnetic moment: 0.23 μB/f.u.

***

## R
! Ba2ZrTlGe (GGA-PBE, relaxed); values from VASP
&SYSTEM
  ibrav = 0, nat = 5, ntyp = 4
/
ATOMIC_SPECIES
Ba 137.33 Ba.upf
Tl 204.38 Tl.upf
Zr 91.22 Zr.upf
Ge 72.64 Ge.upf
CELL_PARAMETERS angstrom
-1.988 0.485 -6.015
4.634 -1.635 -1.664
-2.051 -6.010 0.193
ATOMIC_POSITIONS crystal
Ba 0.000 0.000 0.500
Ba 0.500 0.000 0.000
Tl 0.500 0.500 0.500
Zr 0.000 0.500 0.000
Ge 0.000 0.000 0.000
! N(E_F): 3.55 states/eV/cell
! magnetic moment: 0.00 μB/f.u.

***

The structure with the greatest stability is R.

***

## P
! BaVGe2 (GGA-PBE, relaxed); values from VASP
&SYSTEM
  ibrav = 0, nat = 8, ntyp = 3
/
ATOMIC_SPECIES
V 50.94 V.upf
Ba 137.33 Ba.upf
Ge 72.64 Ge.upf
CELL_PARAMETERS angstrom
-2.454 4.610 1.499
0.216 -1.575 5.196
6.112 5.111 4.136
ATOMIC_POSITIONS crystal
V 0.250 0.750 0.500
V 0.500 0.500 0.000
Ba 0.750 0.250 0.500
Ba 0.000 0.000 0.000
Ge 0.375 0.125 0.250
Ge 0.375 0.625 0.250
Ge 0.375 0.625 0.750
Ge 0.875 0.625 0.750
! N(E_F): 5.69 states/eV/cell
! magnetic moment: 1.82 μB/f.u.

***

## Q
! BaVGe2 (GGA-PBE, relaxed); values from VASP
&SYSTEM
  ibrav = 0, nat = 4, ntyp = 3
/
ATOMIC_SPECIES
V 50.94 V.upf
Ba 137.33 Ba.upf
Ge 72.64 Ge.upf
CELL_PARAMETERS angstrom
0.000 3.611 3.611
3.611 0.000 3.611
3.611 3.611 0.000
ATOMIC_POSITIONS crystal
V 0.000 0.000 0.000
Ba 0.500 0.500 0.500
Ge 0.250 0.250 0.250
Ge 0.750 0.750 0.750
! N(E_F): 1.92 states/eV/cell
! magnetic moment: 3.10 μB/f.u.

***

## R
! BaVGe2 (GGA-PBE, relaxed); values from VASP
&SYSTEM
  ibrav = 0, nat = 4, ntyp = 3
/
ATOMIC_SPECIES
Ge 72.64 Ge.upf
Ba 137.33 Ba.upf
V 50.94 V.upf
CELL_PARAMETERS angstrom
-2.710 1.115 -3.167
0.786 -1.255 -4.053
-4.760 -6.581 -1.183
ATOMIC_POSITIONS crystal
Ge 0.863 0.863 0.411
Ge 0.137 0.137 0.589
Ba 0.000 0.000 0.000
V 0.500 0.500 0.500
! N(E_F): 3.99 states/eV/cell
! magnetic moment: 3.05 μB/f.u.

***

The structure with the greatest stability is P.

***

## P
! BaGeW3 (GGA-PBE, relaxed); values from VASP
&SYSTEM
  ibrav = 0, nat = 5, ntyp = 3
/
ATOMIC_SPECIES
W 183.84 W.upf
Ba 137.33 Ba.upf
Ge 72.64 Ge.upf
CELL_PARAMETERS angstrom
4.852 0.000 0.000
0.000 4.852 0.000
0.000 0.000 4.852
ATOMIC_POSITIONS crystal
W 0.000 0.500 0.000
W 0.000 0.000 0.500
W 0.500 0.000 0.000
Ba 0.500 0.500 0.500
Ge 0.000 0.000 0.000
! N(E_F): 6.45 states/eV/cell
! magnetic moment: 0.00 μB/f.u.

***

## Q
! BaGeW3 (GGA-PBE, relaxed); values from VASP
&SYSTEM
  ibrav = 0, nat = 5, ntyp = 3
/
ATOMIC_SPECIES
W 183.84 W.upf
Ge 72.64 Ge.upf
Ba 137.33 Ba.upf
CELL_PARAMETERS angstrom
-0.178 2.209 -4.530
-4.764 -1.552 -0.570
-1.643 4.259 2.142
ATOMIC_POSITIONS crystal
W 0.500 0.000 0.000
W 0.000 0.500 0.000
W 0.000 0.000 0.500
Ge 0.500 0.500 0.500
Ba 0.000 0.000 0.000
! N(E_F): 9.81 states/eV/cell
! magnetic moment: 0.00 μB/f.u.

***

The structure with the greatest stability is P.

***

## P
! BaGe3W (GGA-PBE, relaxed); values from VASP
&SYSTEM
  ibrav = 0, nat = 5, ntyp = 3
/
ATOMIC_SPECIES
Ba 137.33 Ba.upf
Ge 72.64 Ge.upf
W 183.84 W.upf
CELL_PARAMETERS angstrom
-3.332 -1.626 3.949
4.212 -2.074 2.701
0.701 4.732 2.541
ATOMIC_POSITIONS crystal
Ba 0.000 0.000 0.000
Ge 0.500 0.000 0.000
Ge 0.000 0.000 0.500
Ge 0.000 0.500 0.000
W 0.500 0.500 0.500
! N(E_F): 13.93 states/eV/cell
! magnetic moment: 0.00 μB/f.u.

***

## Q
! BaGe3W (GGA-PBE, relaxed); values from VASP
&SYSTEM
  ibrav = 0, nat = 5, ntyp = 3
/
ATOMIC_SPECIES
Ge 72.64 Ge.upf
W 183.84 W.upf
Ba 137.33 Ba.upf
CELL_PARAMETERS angstrom
4.991 0.000 0.000
0.000 4.991 0.000
0.000 0.000 4.991
ATOMIC_POSITIONS crystal
Ge 0.500 0.000 0.000
Ge 0.000 0.000 0.500
Ge 0.000 0.500 0.000
W 0.000 0.000 0.000
Ba 0.500 0.500 0.500
! N(E_F): 2.67 states/eV/cell
! magnetic moment: 0.00 μB/f.u.

***

The structure with the greatest stability is Q.

***

## P
! Ba3YGe (GGA-PBE, relaxed); values from VASP
&SYSTEM
  ibrav = 0, nat = 5, ntyp = 3
/
ATOMIC_SPECIES
Ba 137.33 Ba.upf
Ge 72.64 Ge.upf
Y 88.91 Y.upf
CELL_PARAMETERS angstrom
6.438 0.000 0.000
0.000 6.438 0.000
0.000 0.000 6.438
ATOMIC_POSITIONS crystal
Ba 0.000 0.000 0.500
Ba 0.000 0.500 0.000
Ba 0.500 0.000 0.000
Ge 0.000 0.000 0.000
Y 0.500 0.500 0.500
! N(E_F): 8.91 states/eV/cell
! magnetic moment: 1.64 μB/f.u.

***

## Q
! Ba3YGe (GGA-PBE, relaxed); values from VASP
&SYSTEM
  ibrav = 0, nat = 5, ntyp = 3
/
ATOMIC_SPECIES
Y 88.91 Y.upf
Ba 137.33 Ba.upf
Ge 72.64 Ge.upf
CELL_PARAMETERS angstrom
6.338 0.000 0.000
0.000 6.338 0.000
0.000 0.000 6.338
ATOMIC_POSITIONS crystal
Y 0.000 0.000 0.000
Ba 0.000 0.500 0.000
Ba 0.500 0.000 0.000
Ba 0.000 0.000 0.500
Ge 0.500 0.500 0.500
! N(E_F): 10.68 states/eV/cell
! magnetic moment: 0.00 μB/f.u.

***

The structure with the greatest stability is P.

***

## P
! BaYGe3 (GGA-PBE, relaxed); values from VASP
&SYSTEM
  ibrav = 0, nat = 5, ntyp = 3
/
ATOMIC_SPECIES
Ba 137.33 Ba.upf
Ge 72.64 Ge.upf
Y 88.91 Y.upf
CELL_PARAMETERS angstrom
-0.120 5.216 1.874
-4.213 -1.303 3.358
3.600 -1.352 3.993
ATOMIC_POSITIONS crystal
Ba 0.000 0.000 0.000
Ge 0.000 0.500 0.000
Ge 0.000 0.000 0.500
Ge 0.500 0.000 0.000
Y 0.500 0.500 0.500
! N(E_F): 2.93 states/eV/cell
! magnetic moment: 0.00 μB/f.u.

***

## Q
! BaYGe3 (GGA-PBE, relaxed); values from VASP
&SYSTEM
  ibrav = 0, nat = 5, ntyp = 3
/
ATOMIC_SPECIES
Y 88.91 Y.upf
Ge 72.64 Ge.upf
Ba 137.33 Ba.upf
CELL_PARAMETERS angstrom
5.439 0.000 0.000
0.000 5.439 0.000
0.000 0.000 5.439
ATOMIC_POSITIONS crystal
Y 0.000 0.000 0.000
Ge 0.500 0.000 0.000
Ge 0.000 0.500 0.000
Ge 0.000 0.000 0.500
Ba 0.500 0.500 0.500
! N(E_F): 3.71 states/eV/cell
! magnetic moment: 0.00 μB/f.u.

***

The structure with the greatest stability is Q.

***

## P
! BaY2Ge2 (GGA-PBE, relaxed); values from VASP
&SYSTEM
  ibrav = 0, nat = 5, ntyp = 3
/
ATOMIC_SPECIES
Ge 72.64 Ge.upf
Ba 137.33 Ba.upf
Y 88.91 Y.upf
CELL_PARAMETERS angstrom
5.414 0.000 0.000
0.000 5.414 0.000
2.707 2.707 5.707
ATOMIC_POSITIONS crystal
Ge 0.750 0.250 0.500
Ge 0.250 0.750 0.500
Ba 0.000 0.000 0.000
Y 0.326 0.326 0.348
Y 0.674 0.674 0.652
! N(E_F): 3.17 states/eV/cell
! magnetic moment: 0.71 μB/f.u.

***

## Q
! BaY2Ge2 (GGA-PBE, relaxed); values from VASP
&SYSTEM
  ibrav = 0, nat = 10, ntyp = 3
/
ATOMIC_SPECIES
Y 88.91 Y.upf
Ba 137.33 Ba.upf
Ge 72.64 Ge.upf
CELL_PARAMETERS angstrom
-0.182 -2.885 8.365
8.800 0.814 0.472
-0.369 3.326 1.139
ATOMIC_POSITIONS crystal
Y 0.640 0.860 0.500
Y 0.140 0.640 0.500
Y 0.860 0.360 0.500
Y 0.360 0.140 0.500
Ba 0.500 0.500 0.000
Ba 0.000 0.000 0.000
Ge 0.156 0.344 0.000
Ge 0.344 0.844 0.000
Ge 0.656 0.156 0.000
Ge 0.844 0.656 0.000
! N(E_F): 7.60 states/eV/cell
! magnetic moment: 0.00 μB/f.u.

***

## R
! BaY2Ge2 (GGA-PBE, relaxed); values from VASP
&SYSTEM
  ibrav = 0, nat = 5, ntyp = 3
/
ATOMIC_SPECIES
Ge 72.64 Ge.upf
Ba 137.33 Ba.upf
Y 88.91 Y.upf
CELL_PARAMETERS angstrom
-3.961 -1.411 2.524
2.236 -4.209 1.155
1.514 -0.111 7.078
ATOMIC_POSITIONS crystal
Ge 0.383 0.383 0.233
Ge 0.617 0.617 0.767
Ba 0.000 0.000 0.000
Y 0.250 0.750 0.500
Y 0.750 0.250 0.500
! N(E_F): 1.77 states/eV/cell
! magnetic moment: 0.00 μB/f.u.

***

The structure with the greatest stability is R.